First-principles (SCAN) data for InCuRe at its PBEsol-relaxed geometry, as listed in the Alexandria database.

a = 4.3225 Å, b = 4.3225 Å, c = 4.3225 Å
α = 60.00°, β = 60.00°, γ = 60.00°
Positions (direct):
Re 0.2500 0.2500 0.2500
Cu 0.0000 0.0000 0.0000
In 0.5000 0.5000 0.5000

Values from the calculation:
SG: F-43m
N(E_F): 1.9 states/eV/cell
ΔH_f (0 K): 1.09 eV/atom
ρ: 10.60 g/cm³



First-principles (SCAN) data for InCu2Rh at its PBEsol-relaxed geometry, as listed in the Alexandria database.

a = 3.8994 Å, b = 3.8994 Å, c = 4.5992 Å
α = 115.08°, β = 115.08°, γ = 90.00°
Positions (direct):
Cu 0.7500 0.2500 0.5000
In 0.0000 0.0000 0.0000
Cu 0.5000 0.5000 0.0000
Rh 0.2500 0.7500 0.5000

Values from the calculation:
SG: I-4m2
N(E_F): 1.4 states/eV/cell
ΔH_f (0 K): -0.12 eV/atom
ρ: 10.23 g/cm³



First-principles (SCAN) data for InCu2Rh at its PBEsol-relaxed geometry, as listed in the Alexandria database.

a = 3.7823 Å, b = 3.7823 Å, c = 3.9008 Å
α = 90.00°, β = 90.00°, γ = 90.00°
Positions (direct):
In 0.5000 0.5000 0.5000
Rh 0.0000 0.0000 0.5000
Cu 0.5000 0.0000 0.0000
Cu 0.0000 0.5000 0.0000

Values from the calculation:
SG: P4/mmm
N(E_F): 0.9 states/eV/cell
ΔH_f (0 K): -0.16 eV/atom
ρ: 10.26 g/cm³



First-principles (SCAN) data for InCu2Rh at its PBEsol-relaxed geometry, as listed in the Alexandria database.

a = 3.1881 Å, b = 3.1881 Å, c = 5.5740 Å
α = 90.00°, β = 90.00°, γ = 90.00°
Positions (direct):
Cu 0.0000 0.0000 0.2677
Cu 0.0000 0.0000 0.7323
In 0.5000 0.5000 0.0000
Rh 0.5000 0.5000 0.5000

Values from the calculation:
SG: P4/mmm
N(E_F): 2.5 states/eV/cell
ΔH_f (0 K): 0.06 eV/atom
ρ: 10.11 g/cm³



First-principles (SCAN) data for Y2InCuRu at its PBEsol-relaxed geometry, as listed in the Alexandria database.

a = 4.7844 Å, b = 5.1137 Å, c = 5.1137 Å
α = 90.00°, β = 90.00°, γ = 90.00°
Positions (direct):
In 0.5000 0.5000 0.5000
Ru 0.0000 0.0000 0.0000
Y 0.0000 0.5000 0.0000
Cu 0.5000 0.0000 0.0000
Y 0.0000 0.0000 0.5000

Values from the calculation:
SG: P4/mmm
N(E_F): 3.4 states/eV/cell
ΔH_f (0 K): 0.06 eV/atom
ρ: 6.07 g/cm³



First-principles (SCAN) data for In5CuS8 at its PBEsol-relaxed geometry, as listed in the Alexandria database.

a = 7.5409 Å, b = 7.5409 Å, c = 7.5409 Å
α = 60.00°, β = 60.00°, γ = 60.00°
Positions (direct):
S 0.6241 0.6241 0.1276
S 0.1276 0.6241 0.6241
S 0.1343 0.1343 0.5971
In 0.3814 0.3814 0.8557
S 0.6241 0.6241 0.6241
S 0.1343 0.5971 0.1343
S 0.6241 0.1276 0.6241
S 0.5971 0.1343 0.1343
In 0.3814 0.3814 0.3814
In 0.8557 0.3814 0.3814
In 0.0000 0.0000 0.0000
S 0.1343 0.1343 0.1343
In 0.3814 0.8557 0.3814
Cu 0.7500 0.7500 0.7500

Values from the calculation:
uncorrected formation energy: -0.6670 eV per atom
SG: F-43m
N(E_F): 0.3 states/eV/cell
ρ: 4.90 g/cm³



First-principles (SCAN) data for InCuS2 at its PBEsol-relaxed geometry, as listed in the Alexandria database.

a = 5.4817 Å, b = 5.4817 Å, c = 6.7426 Å
α = 113.98°, β = 113.98°, γ = 90.00°
Positions (direct):
S 0.8422 0.3750 0.2500
Cu 0.5000 0.5000 0.0000
S 0.6250 0.5922 0.7500
In 0.0000 0.0000 0.0000
S 0.1250 0.1578 0.7500
Cu 0.7500 0.2500 0.5000
S 0.4078 0.8750 0.2500
In 0.2500 0.7500 0.5000

Values from the calculation:
uncorrected formation energy: -0.5906 eV per atom
SG: I-42d
N(E_F): 0.0 states/eV/cell
ρ: 4.86 g/cm³



First-principles (SCAN) data for In2CuS4 at its PBEsol-relaxed geometry, as listed in the Alexandria database.

a = 7.3816 Å, b = 7.3816 Å, c = 7.3816 Å
α = 60.00°, β = 60.00°, γ = 60.00°
Positions (direct):
S 0.8737 0.3754 0.3754
S 0.3763 0.8746 0.8746
In 0.6250 0.6250 0.1250
In 0.1250 0.6250 0.6250
S 0.3754 0.3754 0.8737
Cu 0.2500 0.2500 0.2500
In 0.6250 0.6250 0.6250
S 0.3754 0.3754 0.3754
S 0.8746 0.8746 0.8746
In 0.6250 0.1250 0.6250
S 0.8746 0.3763 0.8746
S 0.3754 0.8737 0.3754
S 0.8746 0.8746 0.3763
Cu 0.0000 0.0000 0.0000

Values from the calculation:
uncorrected formation energy: -0.5179 eV per atom
SG: Fd-3m
N(E_F): 10.4 states/eV/cell
ρ: 4.92 g/cm³



First-principles (SCAN) data for InCuS2 at its PBEsol-relaxed geometry, as listed in the Alexandria database.

a = 3.8193 Å, b = 3.8193 Å, c = 6.4652 Å
α = 72.82°, β = 72.82°, γ = 60.00°
Positions (direct):
S 0.7401 0.7401 0.7797
Cu 0.8636 0.8636 0.4091
In 0.0042 0.0042 0.9874
S 0.2391 0.2391 0.2828

Values from the calculation:
uncorrected formation energy: -0.5172 eV per atom
SG: R3m
ρ: 5.24 g/cm³



First-principles (SCAN) data for InCuSeS at its PBEsol-relaxed geometry, as listed in the Alexandria database.

a = 5.6077 Å, b = 5.6222 Å, c = 6.9207 Å
α = 113.97°, β = 113.90°, γ = 90.00°
Positions (direct):
Cu 0.6393 0.8893 0.2787
Cu 0.8607 0.6107 0.7213
Se 0.7500 0.9592 0.0000
Se 0.2500 0.5408 0.0000
S 0.9728 0.7500 0.5000
S 0.5272 0.2500 0.5000
In 0.1276 0.3776 0.2552
In 0.3724 0.1224 0.7448

Values from the calculation:
uncorrected formation energy: -0.5362 eV per atom
SG: I2_12_12_1
N(E_F): 0.3 states/eV/cell
ρ: 5.38 g/cm³



First-principles (SCAN) data for Sm2InCuS5 at its PBEsol-relaxed geometry, as listed in the Alexandria database.

a = 3.8214 Å, b = 11.3605 Å, c = 16.3336 Å
α = 90.00°, β = 90.00°, γ = 90.00°
Positions (direct):
In 0.7500 0.3065 0.8634
S 0.2500 0.9858 0.3048
In 0.2500 0.1935 0.3634
S 0.2500 0.7386 0.7309
Sm 0.7500 0.5257 0.3202
S 0.2500 0.4858 0.1952
S 0.7500 0.3160 0.6126
S 0.7500 0.1074 0.4655
Cu 0.7500 0.9203 0.0041
S 0.7500 0.2614 0.2691
S 0.7500 0.8160 0.8874
S 0.2500 0.2386 0.7691
S 0.2500 0.3926 0.9655
Sm 0.7500 0.8644 0.4029
Sm 0.7500 0.3644 0.0971
S 0.2500 0.6840 0.3874
Sm 0.2500 0.6356 0.9029
S 0.7500 0.5142 0.8048
Cu 0.7500 0.4203 0.4959
S 0.2500 0.4038 0.4202
In 0.2500 0.6935 0.1366
S 0.7500 0.7614 0.2309
S 0.2500 0.1840 0.1126
Sm 0.2500 0.9743 0.8202
Cu 0.2500 0.5797 0.5041
Sm 0.2500 0.4743 0.6798
S 0.7500 0.0142 0.6952
Sm 0.7500 0.0257 0.1798
S 0.2500 0.9038 0.0798
Sm 0.2500 0.1356 0.5971
S 0.7500 0.5962 0.5798
S 0.7500 0.6074 0.0345
S 0.2500 0.8926 0.5345
S 0.7500 0.0962 0.9202
Cu 0.2500 0.0797 0.9959
In 0.7500 0.8065 0.6366

Values from the calculation:
uncorrected formation energy: -1.5762 eV per atom
SG: Pnma
ρ: 5.99 g/cm³



First-principles (SCAN) data for InCuSnS4 at its PBEsol-relaxed geometry, as listed in the Alexandria database.

a = 7.3872 Å, b = 7.3872 Å, c = 7.3872 Å
α = 89.93°, β = 60.26°, γ = 120.18°
Positions (direct):
S 0.9959 0.2447 0.2594
S 0.0030 0.7548 0.2482
In 0.0000 0.5000 0.5000
S 0.5030 0.7512 0.7518
S 0.0041 0.7553 0.7406
Cu 0.7500 0.6330 0.1170
S 0.4970 0.2488 0.2482
Sn 0.5000 0.0000 0.0000
S 0.9970 0.2452 0.7518
In 0.5000 0.0000 0.5000
Cu 0.2500 0.3670 0.8830
S 0.5041 0.2447 0.7511
S 0.4959 0.7553 0.2489
Sn 0.0000 0.0000 0.5000

Values from the calculation:
uncorrected formation energy: -0.5281 eV per atom
SG: Imma
ρ: 4.95 g/cm³



First-principles (SCAN) data for Zn2InCuS4 at its PBEsol-relaxed geometry, as listed in the Alexandria database.

a = 5.4203 Å, b = 5.4203 Å, c = 6.6496 Å
α = 114.05°, β = 114.05°, γ = 90.00°
Positions (direct):
In 0.5000 0.5000 0.0000
S 0.8942 0.3625 0.2567
Zn 0.2500 0.7500 0.5000
S 0.6375 0.6375 0.7433
S 0.3625 0.8942 0.2567
Cu 0.0000 0.0000 0.0000
S 0.1058 0.1058 0.7433
Zn 0.7500 0.2500 0.5000

Values from the calculation:
uncorrected formation energy: -0.7612 eV per atom
SG: I-42m
ρ: 4.55 g/cm³



First-principles (SCAN) data for In2CuSb at its PBEsol-relaxed geometry, as listed in the Alexandria database.

a = 3.6211 Å, b = 3.6211 Å, c = 8.2232 Å
α = 77.28°, β = 77.28°, γ = 60.00°
Positions (direct):
In 0.9861 0.9861 0.0417
Sb 0.5151 0.5151 0.4548
In 0.7504 0.7504 0.7487
Cu 0.2484 0.2484 0.2547

Values from the calculation:
uncorrected formation energy: 0.1235 eV per atom
SG: R3m
N(E_F): 1.5 states/eV/cell
ρ: 7.63 g/cm³



First-principles (SCAN) data for InCuSb at its PBEsol-relaxed geometry, as listed in the Alexandria database.

a = 4.6536 Å, b = 4.6536 Å, c = 4.6536 Å
α = 60.00°, β = 60.00°, γ = 60.00°
Positions (direct):
Sb 0.0000 0.0000 0.0000
In 0.2500 0.2500 0.2500
Cu 0.5000 0.5000 0.5000

Values from the calculation:
uncorrected formation energy: 0.3818 eV per atom
SG: F-43m
N(E_F): 1.4 states/eV/cell
ρ: 6.99 g/cm³



First-principles (SCAN) data for Sc2InCu2 at its PBEsol-relaxed geometry, as listed in the Alexandria database.

a = 3.3733 Å, b = 7.1832 Å, c = 7.1832 Å
α = 90.00°, β = 90.00°, γ = 90.00°
Positions (direct):
In 0.0000 0.0000 0.0000
Sc 0.5000 0.3324 0.1676
Sc 0.5000 0.6676 0.8324
Cu 0.0000 0.8767 0.6233
Cu 0.0000 0.3767 0.8767
Sc 0.5000 0.1676 0.6676
Sc 0.5000 0.8324 0.3324
Cu 0.0000 0.1233 0.3767
Cu 0.0000 0.6233 0.1233
In 0.0000 0.5000 0.5000

Values from the calculation:
SG: P4/mbm
N(E_F): 7.4 states/eV/cell
ΔH_f (0 K): -0.49 eV/atom
ρ: 6.33 g/cm³



First-principles (SCAN) data for ScInCu at its PBEsol-relaxed geometry, as listed in the Alexandria database.

a = 3.2111 Å, b = 4.4600 Å, c = 4.4600 Å
α = 120.00°, β = 90.00°, γ = 90.00°
Positions (direct):
In 0.0000 0.6667 0.3333
Cu 0.0000 0.0000 0.0000
Sc 0.5000 0.3333 0.6667

Values from the calculation:
SG: P-6m2
N(E_F): 1.7 states/eV/cell
ΔH_f (0 K): -0.41 eV/atom
ρ: 6.70 g/cm³



First-principles (SCAN) data for InCu2Se at its PBEsol-relaxed geometry, as listed in the Alexandria database.

a = 3.4226 Å, b = 3.4226 Å, c = 5.9694 Å
α = 90.00°, β = 90.00°, γ = 90.00°
Positions (direct):
Cu 0.5000 0.5000 0.2556
Se 0.5000 0.5000 0.8630
In 0.0000 0.0000 0.4509
Cu 0.0000 0.0000 0.9305

Values from the calculation:
uncorrected formation energy: 0.0943 eV per atom
SG: P4mm
N(E_F): 1.5 states/eV/cell
ρ: 7.62 g/cm³



First-principles (SCAN) data for InCu2Se at its PBEsol-relaxed geometry, as listed in the Alexandria database.

a = 3.6054 Å, b = 3.8272 Å, c = 5.3064 Å
α = 111.68°, β = 90.00°, γ = 90.00°
Positions (direct):
Se 0.0000 0.0000 0.5000
In 0.5000 0.5000 0.0000
Cu 0.5000 0.5000 0.5000
Cu 0.0000 0.0000 0.0000

Values from the calculation:
uncorrected formation energy: 0.1613 eV per atom
SG: P2/m
N(E_F): 1.7 states/eV/cell
ρ: 7.83 g/cm³



First-principles (SCAN) data for In3CuSe5 at its PBEsol-relaxed geometry, as listed in the Alexandria database.

a = 5.7141 Å, b = 7.0259 Å, c = 7.0497 Å
α = 80.15°, β = 66.19°, γ = 66.25°
Positions (direct):
Se 0.2436 0.4654 0.4874
Se 0.4169 0.7221 0.9061
Cu 0.9696 0.0155 0.0055
In 0.4021 0.3800 0.8057
Se 0.0649 0.2641 0.1281
Se 0.6173 0.9369 0.2930
In 0.6249 0.5940 0.2026
Se 0.8995 0.1080 0.6859
In 0.8112 0.8139 0.5857

Values from the calculation:
uncorrected formation energy: -0.5574 eV per atom
SG: P1
ρ: 5.63 g/cm³



First-principles (SCAN) data for In2CuSe4 at its PBEsol-relaxed geometry, as listed in the Alexandria database.

a = 5.5725 Å, b = 5.5725 Å, c = 6.9152 Å
α = 113.76°, β = 113.76°, γ = 90.00°
Positions (direct):
In 0.7500 0.2500 0.5000
In 0.0000 0.0000 0.0000
Cu 0.5000 0.5000 0.0000
Se 0.3664 0.4333 0.2636
Se 0.1697 0.6336 0.7364
Se 0.8971 0.8303 0.2636
Se 0.5667 0.1029 0.7364

Values from the calculation:
uncorrected formation energy: -0.4435 eV per atom
SG: I-4
N(E_F): 5.6 states/eV/cell
ρ: 5.73 g/cm³



First-principles (SCAN) data for In5CuSe8 at its PBEsol-relaxed geometry, as listed in the Alexandria database.

a = 5.7554 Å, b = 5.7554 Å, c = 11.4683 Å
α = 90.00°, β = 90.00°, γ = 90.00°
Positions (direct):
Se 0.2404 0.7596 0.3990
In 0.5000 0.0000 0.7376
Cu 0.5000 0.5000 0.5000
Se 0.7228 0.2772 0.8854
Se 0.7596 0.7596 0.6010
In 0.0000 0.0000 0.0000
In 0.0000 0.5000 0.2624
Se 0.2772 0.7228 0.8854
Se 0.7228 0.7228 0.1146
In 0.5000 0.0000 0.2624
In 0.0000 0.5000 0.7376
Se 0.2404 0.2404 0.6010
Se 0.2772 0.2772 0.1146
Se 0.7596 0.2404 0.3990

Values from the calculation:
uncorrected formation energy: -0.5781 eV per atom
SG: P-42m
ρ: 5.55 g/cm³



First-principles (SCAN) data for InCu2Se at its PBEsol-relaxed geometry, as listed in the Alexandria database.

a = 4.1366 Å, b = 4.1366 Å, c = 4.8415 Å
α = 115.29°, β = 115.29°, γ = 90.00°
Positions (direct):
In 0.5000 0.5000 0.0000
Se 0.0000 0.0000 0.0000
Cu 0.2500 0.7500 0.5000
Cu 0.7500 0.2500 0.5000

Values from the calculation:
uncorrected formation energy: 0.2920 eV per atom
SG: I4/mmm
N(E_F): 1.5 states/eV/cell
ρ: 8.07 g/cm³



First-principles (SCAN) data for InCuSi2 at its PBEsol-relaxed geometry, as listed in the Alexandria database.

a = 3.7356 Å, b = 3.7356 Å, c = 5.3981 Å
α = 110.24°, β = 110.24°, γ = 90.00°
Positions (direct):
Si 0.7500 0.2500 0.5000
Si 0.2500 0.7500 0.5000
Cu 0.5000 0.5000 0.0000
In 0.0000 0.0000 0.0000

Values from the calculation:
uncorrected formation energy: 0.5566 eV per atom
SG: I4/mmm
N(E_F): 1.7 states/eV/cell
ρ: 5.93 g/cm³



First-principles (SCAN) data for InCu2Si at its PBEsol-relaxed geometry, as listed in the Alexandria database.

a = 2.9511 Å, b = 2.9511 Å, c = 8.1190 Å
α = 79.53°, β = 79.53°, γ = 60.00°
Positions (direct):
Si 0.0000 0.0000 0.0000
In 0.5000 0.5000 0.5000
Cu 0.7404 0.7404 0.7787
Cu 0.2596 0.2596 0.2213

Values from the calculation:
uncorrected formation energy: 0.1954 eV per atom
SG: R-3m
N(E_F): 1.2 states/eV/cell
ρ: 7.49 g/cm³



Number 1: size of the total moment 2.1 μB per cell. Number 2: size of the total moment 0.0 μB per cell. Number 3: size of the total moment 0.0 μB per cell. Number 4: size of the total moment 0.0 μB per cell. Number 5: size of the total moment 0.0 μB per cell. Number 6: size of the total moment 0.0 μB per cell. Number 7: size of the total moment 0.0 μB per cell. Number 8: size of the total moment 0.0 μB per cell. Number 9: size of the total moment 0.0 μB per cell. Number 10: size of the total moment 0.0 μB per cell. Number 11: size of the total moment 0.0 μB per cell. Number 12: size of the total moment 0.0 μB per cell. Number 13: size of the total moment 0.0 μB per cell. Number 14: size of the total moment 0.0 μB per cell. Number 15: size of the total moment 0.0 μB per cell. Number 16: size of the total moment 0.0 μB per cell. Number 17: size of the total moment 0.1 μB per cell. Number 18: size of the total moment 0.0 μB per cell. Number 19: size of the total moment 0.0 μB per cell. Number 20: size of the total moment 0.0 μB per cell. Number 21: size of the total moment 0.0 μB per cell. Number 22: size of the total moment 0.0 μB per cell. Number 23: size of the total moment 0.0 μB per cell. Number 24: size of the total moment 0.0 μB per cell. Number 25: size of the total moment 0.0 μB per cell.